Record 1
# CaMgZnRh GGA-PBE relaxed
# Formation enthalpy at 0 K   -0.25 eV per atom
data_CaMgZnRh
_chemical_formula_sum 'Ca1 Mg1 Zn1 Rh1'
_space_group_name_H-M_alt 'P 1'
_space_group_IT_number 1
_cell_length_a 4.768
_cell_length_b 4.768
_cell_length_c 4.768
_cell_angle_alpha 60.00
_cell_angle_beta 60.00
_cell_angle_gamma 60.00
loop_
_space_group_symop_operation_xyz
'x,y,z'
loop_
_atom_site_label
_atom_site_type_symbol
_atom_site_fract_x
_atom_site_fract_y
_atom_site_fract_z
Mg1 Mg 0.500 0.500 0.500
Zn1 Zn 0.750 0.750 0.750
Rh1 Rh 0.250 0.250 0.250
Ca1 Ca 0.000 0.000 0.000

---

Record 2
# CaMg2ZnRh GGA-PBE relaxed
# Formation enthalpy at 0 K   -0.21 eV per atom
data_CaMg2ZnRh
_chemical_formula_sum 'Ca1 Mg2 Zn1 Rh1'
_space_group_name_H-M_alt 'P 1'
_space_group_IT_number 1
_cell_length_a 4.928
_cell_length_b 4.928
_cell_length_c 4.915
_cell_angle_alpha 90.00
_cell_angle_beta 90.00
_cell_angle_gamma 90.00
loop_
_space_group_symop_operation_xyz
'x,y,z'
loop_
_atom_site_label
_atom_site_type_symbol
_atom_site_fract_x
_atom_site_fract_y
_atom_site_fract_z
Mg1 Mg 0.000 0.500 0.000
Mg2 Mg 0.500 0.000 0.000
Zn1 Zn 0.000 0.000 0.500
Rh1 Rh 0.000 0.000 0.000
Ca1 Ca 0.500 0.500 0.500

---

Record 3
# CaMgRu2 GGA-PBE relaxed
# Formation enthalpy at 0 K   0.39 eV per atom
data_CaMgRu2
_chemical_formula_sum 'Ca1 Mg1 Ru2'
_space_group_name_H-M_alt 'P 1'
_space_group_IT_number 1
_cell_length_a 3.224
_cell_length_b 4.766
_cell_length_c 4.519
_cell_angle_alpha 90.00
_cell_angle_beta 90.00
_cell_angle_gamma 90.00
loop_
_space_group_symop_operation_xyz
'x,y,z'
loop_
_atom_site_label
_atom_site_type_symbol
_atom_site_fract_x
_atom_site_fract_y
_atom_site_fract_z
Ca1 Ca 0.500 0.000 0.500
Mg1 Mg 0.000 0.500 0.500
Ru1 Ru 0.000 0.000 0.000
Ru2 Ru 0.500 0.500 0.000

---

Record 4
# CaMg2Ru GGA-PBE relaxed
# Formation enthalpy at 0 K   0.08 eV per atom
data_CaMg2Ru
_chemical_formula_sum 'Ca1 Mg2 Ru1'
_space_group_name_H-M_alt 'P 1'
_space_group_IT_number 1
_cell_length_a 3.465
_cell_length_b 3.465
_cell_length_c 7.380
_cell_angle_alpha 90.00
_cell_angle_beta 90.00
_cell_angle_gamma 90.00
loop_
_space_group_symop_operation_xyz
'x,y,z'
loop_
_atom_site_label
_atom_site_type_symbol
_atom_site_fract_x
_atom_site_fract_y
_atom_site_fract_z
Ca1 Ca 0.500 0.500 0.697
Mg1 Mg 0.000 0.000 0.061
Mg2 Mg 0.500 0.500 0.298
Ru1 Ru 0.000 0.000 0.444

---

What did we get for total DFT energy (no corrections)? Answer: -3.31; -2.98; -5.15; -3.54 eV/atom, in the order shown.
What did we get for theoretical density? Answer: 5.04; 3.57; 6.37; 3.56 g/cm³, in the order shown.